Record 1
Density functional theory data (PBE) for an optimized crystal structure of DyMg7Sc3.

Results
Fermi-level density of states in states/eV/atom: 0.93
Formation energy in eV/atom: 0.23
Space-group type: C2/m

a = 5.8978 Å, b = 8.2223 Å, c = 8.2223 Å
α = 74.13°, β = 121.93°, γ = 121.93°
Closest atoms and distances in Å follow each position.
Fractional coordinates of all 11 atoms:
Mg 0.3051 0.5725 0.0392  3 Mg 2.87-3.07, 3 Sc 3.05-3.21
Mg 0.6949 0.9608 0.4275  3 Mg 2.87-3.07, 3 Sc 3.05-3.21
Sc 0.0000 0.8047 0.1953  7 Mg 3.00-3.21
Sc 0.0000 0.1953 0.8047  7 Mg 3.00-3.21
Mg 0.6949 0.4275 0.9608  3 Mg 2.87-3.07, 3 Sc 3.05-3.21
Mg 0.4199 0.2274 0.2274  5 Mg 2.88-3.07, 2 Sc 3.00
Sc 0.5000 0.0000 0.0000  6 Mg 3.05-3.32
Dy 0.5000 0.5000 0.5000  4 Mg 2.95-3.28
Mg 0.5801 0.7726 0.7726  5 Mg 2.88-3.07, 2 Sc 3.00
Mg 0.3051 0.0392 0.5725  3 Mg 2.87-3.07, 3 Sc 3.05-3.21
Mg 0.0000 0.5000 0.5000  2 Mg 2.88, 2 Dy 2.95, 2 Sc 3.02

---

Record 2
Density functional theory data (PBE) for an optimized crystal structure of Dy2MgSc5.

Results
Fermi-level density of states in states/eV/atom: 1.64
Formation energy in eV/atom: 0.05
Space-group type: I4mm

a = 6.6780 Å, b = 6.6780 Å, c = 6.6780 Å
α = 88.59°, β = 120.82°, γ = 120.82°
Closest atoms and distances in Å follow each position.
Fractional coordinates of all 8 atoms:
Dy 0.5000 0.2778 0.7778  10 Sc 3.30-3.34, 2 Mg 3.30
Dy 0.5000 0.7778 0.2778  10 Sc 3.30-3.34, 2 Mg 3.30
Sc 0.0000 0.2779 0.2779  4 Dy 3.30, 8 Sc 3.34
Sc 0.5000 0.7778 0.7778  6 Sc 3.30-3.34, 2 Mg 3.33-3.34, 4 Dy 3.34
Sc 0.5000 0.2778 0.2778  6 Sc 3.30-3.34, 2 Mg 3.33-3.34, 4 Dy 3.34
Sc 0.0000 0.7778 0.2778  6 Sc 3.30-3.34, 2 Mg 3.33-3.34, 4 Dy 3.34
Sc 0.0000 0.2778 0.7778  6 Sc 3.30-3.34, 2 Mg 3.33-3.34, 4 Dy 3.34
Mg 0.0000 0.7772 0.7772  4 Dy 3.30, 8 Sc 3.33-3.34

---

Record 3
Density functional theory data (PBE) for an optimized crystal structure of Dy2Mg15Sc2.

Results
Fermi-level density of states in states/eV/atom: 0.75
Formation energy in eV/atom: 0.02
Space-group type: R-3m

a = 7.8134 Å, b = 7.8134 Å, c = 7.8134 Å
α = 82.38°, β = 82.38°, γ = 82.38°
Closest atoms and distances in Å follow each position.
Fractional coordinates of all 19 atoms:
Mg 0.3560 0.8476 0.3560  8 Mg 2.98-3.25, 1 Sc 3.30
Dy 0.6755 0.6755 0.6755  1 Sc 3.43, 15 Mg 3.64-3.82
Mg 0.7034 0.2966 0.0000  8 Mg 2.98-3.25
Mg 0.6440 0.6440 0.1524  8 Mg 2.98-3.25, 1 Sc 3.30
Mg 0.6440 0.1524 0.6440  8 Mg 2.98-3.25, 1 Sc 3.30
Mg 0.0000 0.5000 0.0000  8 Mg 2.98-3.01, 2 Sc 3.15
Mg 0.2966 0.0000 0.7034  8 Mg 2.98-3.25
Mg 0.2966 0.7034 0.0000  8 Mg 2.98-3.25
Mg 0.3560 0.3560 0.8476  8 Mg 2.98-3.25, 1 Sc 3.30
Mg 0.7034 0.0000 0.2966  8 Mg 2.98-3.25
Mg 0.0000 0.2966 0.7034  8 Mg 2.98-3.25
Mg 0.5000 0.0000 0.0000  8 Mg 2.98-3.01, 2 Sc 3.15
Mg 0.0000 0.7034 0.2966  8 Mg 2.98-3.25
Mg 0.1524 0.6440 0.6440  8 Mg 2.98-3.25, 1 Sc 3.30
Sc 0.0988 0.0988 0.0988  1 Sc 3.01, 6 Mg 3.15-3.30
Dy 0.3245 0.3245 0.3245  1 Sc 3.43, 15 Mg 3.64-3.82
Mg 0.8476 0.3560 0.3560  8 Mg 2.98-3.25, 1 Sc 3.30
Sc 0.9012 0.9012 0.9012  1 Sc 3.01, 6 Mg 3.15-3.30
Mg 0.0000 0.0000 0.5000  8 Mg 2.98-3.01, 2 Sc 3.15

---

Record 4
Density functional theory data (PBE) for an optimized crystal structure of DyMgScSe4.

Results
Space-group type: Imma
Formation energy from raw total energies in eV/atom: -1.633

a = 8.0536 Å, b = 8.1064 Å, c = 8.1064 Å
α = 60.42°, β = 60.22°, γ = 60.22°
Closest atoms and distances in Å follow each position.
Fractional coordinates of all 14 atoms:
Mg 0.6261 0.6239 0.1239  4 Se 2.59-2.62
Se 0.2576 0.2380 0.7380  1 Mg 2.59, 1 Sc 2.73, 2 Dy 2.84
Mg 0.3739 0.3761 0.8761  4 Se 2.59-2.62
Se 0.2493 0.2309 0.2705  1 Mg 2.62, 2 Sc 2.75, 1 Dy 2.86
Se 0.2336 0.7620 0.2620  1 Mg 2.59, 1 Sc 2.73, 2 Dy 2.84
Dy 0.0000 0.0000 0.0000  6 Se 2.84-2.86
Se 0.7664 0.2380 0.7380  1 Mg 2.59, 1 Sc 2.73, 2 Dy 2.84
Se 0.2493 0.7705 0.7309  1 Mg 2.62, 2 Sc 2.75, 1 Dy 2.86
Sc 0.0000 0.0000 0.5000  6 Se 2.73-2.75
Se 0.7507 0.2295 0.2691  1 Mg 2.62, 2 Sc 2.75, 1 Dy 2.86
Se 0.7424 0.7620 0.2620  1 Mg 2.59, 1 Sc 2.73, 2 Dy 2.84
Sc 0.5000 0.0000 0.5000  6 Se 2.73-2.75
Dy 0.0000 0.5000 0.5000  6 Se 2.84-2.86
Se 0.7507 0.7691 0.7295  1 Mg 2.62, 2 Sc 2.75, 1 Dy 2.86

---

Record 5
Density functional theory data (PBE) for an optimized crystal structure of Dy3MgSc3Se8.

Results
Fermi-level density of states in states/eV/atom: 0.26
Space-group type: R-3m
Formation energy from raw total energies in eV/atom: -1.679

a = 7.8985 Å, b = 7.8986 Å, c = 7.9425 Å
α = 119.82°, β = 90.00°, γ = 120.00°
Closest atoms and distances in Å follow each position.
Fractional coordinates of all 15 atoms:
Sc 0.0000 0.5000 0.5000  6 Se 2.75
Se 0.2550 0.5099 0.2649  3 Sc 2.75, 3 Dy 2.86
Sc 0.5000 0.5000 0.5000  6 Se 2.75
Se 0.7529 0.5059 0.2624  2 Sc 2.75, 1 Mg 2.77, 2 Dy 2.85
Se 0.7529 0.0095 0.2624  2 Sc 2.75, 1 Mg 2.77, 2 Dy 2.85
Se 0.2471 0.4941 0.7376  2 Sc 2.75, 1 Mg 2.77, 2 Dy 2.85
Sc 0.5000 0.0000 0.5000  6 Se 2.75
Dy 0.5000 0.5000 0.0000  6 Se 2.85-2.86
Se 0.2566 0.0095 0.2624  2 Sc 2.75, 1 Mg 2.77, 2 Dy 2.85
Dy 0.0000 0.5000 0.0000  6 Se 2.85-2.86
Mg 0.0000 0.0000 0.5000  6 Se 2.77
Se 0.2471 0.9905 0.7376  2 Sc 2.75, 1 Mg 2.77, 2 Dy 2.85
Dy 0.0000 0.0000 0.0000  6 Se 2.85-2.86
Se 0.7434 0.9905 0.7376  2 Sc 2.75, 1 Mg 2.77, 2 Dy 2.85
Se 0.7450 0.4901 0.7351  3 Sc 2.75, 3 Dy 2.86

---

Record 6
Density functional theory data (PBE) for an optimized crystal structure of Sm2Dy4MgSc.

Results
Fermi-level density of states in states/eV/atom: 1.55
Formation energy in eV/atom: 0.03
Space-group type: P2/m

a = 4.9446 Å, b = 4.9530 Å, c = 11.0287 Å
α = 63.26°, β = 90.00°, γ = 90.00°
Closest atoms and distances in Å follow each position.
Fractional coordinates of all 8 atoms:
Dy 0.5000 0.2547 0.7459  4 Sm 3.46-3.52, 2 Sc 3.46, 4 Dy 3.50, 2 Mg 3.52
Dy 0.0000 0.2457 0.2538  2 Sc 3.46-3.47, 4 Sm 3.46-3.52, 4 Dy 3.50, 2 Mg 3.52
Sm 0.5000 0.0000 0.5000  8 Dy 3.46-3.47, 4 Sc 3.50
Sc 0.0000 0.5000 0.5000  8 Dy 3.46-3.47, 4 Sm 3.50
Sm 0.0000 0.0000 0.0000  4 Mg 3.50, 8 Dy 3.52
Mg 0.5000 0.5000 0.0000  4 Sm 3.50, 8 Dy 3.52
Dy 0.0000 0.7543 0.7462  2 Sc 3.46-3.47, 4 Sm 3.46-3.52, 4 Dy 3.50, 2 Mg 3.52
Dy 0.5000 0.7453 0.2541  4 Sm 3.46-3.52, 2 Sc 3.46, 4 Dy 3.50, 2 Mg 3.52

---

Record 7
Density functional theory data (PBE) for an optimized crystal structure of DyMgScSn.

Results
Fermi-level density of states in states/eV/atom: 1.02
Formation energy in eV/atom: -0.37
Space-group type: F-43m

a = 5.1505 Å, b = 5.1505 Å, c = 5.1505 Å
α = 60.00°, β = 60.00°, γ = 60.00°
Closest atoms and distances in Å follow each position.
Fractional coordinates of all 4 atoms:
Sn 0.2500 0.2500 0.2500  4 Dy 3.15, 4 Sc 3.15
Sc 0.5000 0.5000 0.5000  4 Mg 3.15, 4 Sn 3.15
Mg 0.7500 0.7500 0.7500  4 Dy 3.15, 4 Sc 3.15
Dy 0.0000 0.0000 0.0000  4 Sn 3.15, 4 Mg 3.15

---

Record 8
Density functional theory data (PBE) for an optimized crystal structure of Tb2DyMg5Sc2.

Results
Fermi-level density of states in states/eV/atom: 0.70
Formation energy in eV/atom: 0.02
Space-group type: P4/mbm

a = 4.9695 Å, b = 10.3151 Å, c = 10.3151 Å
α = 90.00°, β = 90.00°, γ = 90.00°
Closest atoms and distances in Å follow each position.
Fractional coordinates of all 20 atoms:
Sc 0.0000 0.1161 0.6161  3 Tb 2.99-3.11, 6 Mg 3.01-3.14
Mg 0.5000 0.2966 0.5694  4 Mg 3.13-3.32, 2 Sc 3.14, 2 Dy 3.33
Tb 0.0000 0.3214 0.8214  3 Sc 2.99-3.11
Sc 0.0000 0.6161 0.8839  3 Tb 2.99-3.11, 6 Mg 3.01-3.14
Mg 0.5000 0.7966 0.9306  4 Mg 3.13-3.32, 2 Sc 3.14, 2 Dy 3.33
Mg 0.5000 0.2034 0.0694  4 Mg 3.13-3.32, 2 Sc 3.14, 2 Dy 3.33
Dy 0.0000 0.5000 0.5000  8 Mg 3.33
Tb 0.0000 0.1786 0.3214  3 Sc 2.99-3.11
Sc 0.0000 0.8839 0.3839  3 Tb 2.99-3.11, 6 Mg 3.01-3.14
Tb 0.0000 0.6786 0.1786  3 Sc 2.99-3.11
Mg 0.5000 0.5000 0.0000  4 Sc 3.01, 4 Mg 3.14
Dy 0.0000 0.0000 0.0000  8 Mg 3.33
Mg 0.5000 0.5694 0.7034  4 Mg 3.13-3.32, 2 Sc 3.14, 2 Dy 3.33
Mg 0.5000 0.9306 0.2034  4 Mg 3.13-3.32, 2 Sc 3.14, 2 Dy 3.33
Mg 0.5000 0.0000 0.5000  4 Sc 3.01, 4 Mg 3.14
Mg 0.5000 0.0694 0.7966  4 Mg 3.13-3.32, 2 Sc 3.14, 2 Dy 3.33
Mg 0.5000 0.4306 0.2966  4 Mg 3.13-3.32, 2 Sc 3.14, 2 Dy 3.33
Mg 0.5000 0.7034 0.4306  4 Mg 3.13-3.32, 2 Sc 3.14, 2 Dy 3.33
Sc 0.0000 0.3839 0.1161  3 Tb 2.99-3.11, 6 Mg 3.01-3.14
Tb 0.0000 0.8214 0.6786  3 Sc 2.99-3.11

---

Record 9
Density functional theory data (PBE) for an optimized crystal structure of Tb6Dy2MgSc3.

Results
Fermi-level density of states in states/eV/atom: 1.22
Formation energy in eV/atom: 0.04
Space-group type: C2/m

a = 6.0083 Å, b = 6.0083 Å, c = 11.3604 Å
α = 95.07°, β = 95.07°, γ = 120.02°
Closest atoms and distances in Å follow each position.
Fractional coordinates of all 12 atoms:
Tb 0.7525 0.7525 0.2584  3 Sc 3.36, 6 Tb 3.47, 2 Dy 3.51, 1 Mg 3.52
Tb 0.0857 0.4190 0.2580  3 Sc 3.37, 6 Tb 3.47, 1 Mg 3.51, 2 Dy 3.51
Tb 0.2475 0.2475 0.7416  3 Sc 3.36, 6 Tb 3.47, 2 Dy 3.51, 1 Mg 3.52
Tb 0.5810 0.9143 0.7420  3 Sc 3.37, 6 Tb 3.47, 1 Mg 3.51, 2 Dy 3.51
Sc 0.5000 0.5000 0.5000  6 Tb 3.36-3.37, 6 Sc 3.46-3.48
Tb 0.9143 0.5810 0.7420  3 Sc 3.37, 6 Tb 3.47, 1 Mg 3.51, 2 Dy 3.51
Dy 0.6666 0.3334 0.0000  3 Dy 3.47, 3 Mg 3.47, 6 Tb 3.51
Dy 0.3334 0.6666 0.0000  3 Dy 3.47, 3 Mg 3.47, 6 Tb 3.51
Tb 0.4190 0.0857 0.2580  3 Sc 3.37, 6 Tb 3.47, 1 Mg 3.51, 2 Dy 3.51
Mg 0.0000 0.0000 0.0000  6 Dy 3.47, 6 Tb 3.51-3.52
Sc 0.8341 0.1659 0.5000  6 Tb 3.36-3.37, 6 Sc 3.45-3.48
Sc 0.1659 0.8341 0.5000  6 Tb 3.36-3.37, 6 Sc 3.45-3.48

---

Record 10
Density functional theory data (PBE) for an optimized crystal structure of Tb2Dy4MgSc.

Results
Fermi-level density of states in states/eV/atom: 1.50
Formation energy in eV/atom: 0.03
Space-group type: P4/mmm

a = 4.9336 Å, b = 4.9389 Å, c = 10.9255 Å
α = 63.09°, β = 90.00°, γ = 90.00°
Closest atoms and distances in Å follow each position.
Fractional coordinates of all 8 atoms:
Dy 0.0000 0.2463 0.2532  2 Sc 3.44-3.45, 4 Tb 3.44-3.49, 2 Mg 3.49, 4 Dy 3.49
Mg 0.5000 0.5000 0.0000  8 Dy 3.49, 4 Tb 3.49
Dy 0.5000 0.2541 0.7467  4 Tb 3.44-3.49, 2 Sc 3.44, 4 Dy 3.49, 2 Mg 3.49
Dy 0.0000 0.7537 0.7468  2 Sc 3.44-3.45, 4 Tb 3.44-3.49, 2 Mg 3.49, 4 Dy 3.49
Sc 0.0000 0.5000 0.5000  8 Dy 3.44-3.45, 4 Tb 3.49
Tb 0.5000 0.0000 0.5000  8 Dy 3.44-3.45, 4 Sc 3.49
Dy 0.5000 0.7459 0.2533  4 Tb 3.44-3.49, 2 Sc 3.44, 4 Dy 3.49, 2 Mg 3.49
Tb 0.0000 0.0000 0.0000  8 Dy 3.49, 4 Mg 3.49

---

Record 11
Density functional theory data (PBE) for an optimized crystal structure of TbDy2Mg5Sc2.

Results
Fermi-level density of states in states/eV/atom: 0.75
Formation energy in eV/atom: 0.03
Space-group type: P4/mbm

a = 4.9707 Å, b = 10.3191 Å, c = 10.3191 Å
α = 90.00°, β = 90.00°, γ = 90.00°
Closest atoms and distances in Å follow each position.
Fractional coordinates of all 20 atoms:
Mg 0.5000 0.0000 0.5000  4 Sc 3.01, 4 Mg 3.14
Tb 0.0000 0.5000 0.5000  8 Mg 3.33
Dy 0.0000 0.8213 0.6787  3 Sc 3.00-3.11
Mg 0.5000 0.9305 0.2036  4 Mg 3.14-3.31, 2 Sc 3.14, 2 Tb 3.33
Sc 0.0000 0.1159 0.6159  3 Dy 3.00-3.11, 6 Mg 3.01-3.14
Sc 0.0000 0.8841 0.3841  3 Dy 3.00-3.11, 6 Mg 3.01-3.14
Mg 0.5000 0.7036 0.4305  4 Mg 3.14-3.31, 2 Sc 3.14, 2 Tb 3.33
Mg 0.5000 0.5695 0.7036  4 Mg 3.14-3.31, 2 Sc 3.14, 2 Tb 3.33
Mg 0.5000 0.4305 0.2964  4 Mg 3.14-3.31, 2 Sc 3.14, 2 Tb 3.33
Dy 0.0000 0.1787 0.3213  3 Sc 3.00-3.11
Dy 0.0000 0.3213 0.8213  3 Sc 3.00-3.11
Sc 0.0000 0.6159 0.8841  3 Dy 3.00-3.11, 6 Mg 3.01-3.14
Dy 0.0000 0.6787 0.1787  3 Sc 3.00-3.11
Mg 0.5000 0.5000 0.0000  4 Sc 3.01, 4 Mg 3.14
Mg 0.5000 0.0695 0.7964  4 Mg 3.14-3.31, 2 Sc 3.14, 2 Tb 3.33
Mg 0.5000 0.7964 0.9305  4 Mg 3.14-3.31, 2 Sc 3.14, 2 Tb 3.33
Mg 0.5000 0.2036 0.0695  4 Mg 3.14-3.31, 2 Sc 3.14, 2 Tb 3.33
Tb 0.0000 0.0000 0.0000  8 Mg 3.33
Sc 0.0000 0.3841 0.1159  3 Dy 3.00-3.11, 6 Mg 3.01-3.14
Mg 0.5000 0.2964 0.5695  4 Mg 3.14-3.31, 2 Sc 3.14, 2 Tb 3.33

---

Record 12
Density functional theory data (PBE) for an optimized crystal structure of DyMgScTc.

Results
Fermi-level density of states in states/eV/atom: 0.79
Formation energy in eV/atom: -0.05
Space-group type: F-43m

a = 4.8940 Å, b = 4.8940 Å, c = 4.8940 Å
α = 60.00°, β = 60.00°, γ = 60.00°
Closest atoms and distances in Å follow each position.
Fractional coordinates of all 4 atoms:
Dy 0.5000 0.5000 0.5000  4 Mg 3.00, 4 Tc 3.00
Sc 0.0000 0.0000 0.0000  4 Tc 3.00, 4 Mg 3.00
Tc 0.2500 0.2500 0.2500  4 Dy 3.00, 4 Sc 3.00
Mg 0.7500 0.7500 0.7500  4 Dy 3.00, 4 Sc 3.00

---

Q: Which formula does entry 11 have?
A: TbDy2Mg5Sc2